--- 1 ---
The following is a PBE calculation of DyHoRh after structural relaxation, from Alexandria.

CIF file:
```
data_DyHoRh
_symmetry_space_group_name_H-M 'P 1'
_symmetry_Int_Tables_number 1
_cell_length_a 4.795
_cell_length_b 4.795
_cell_length_c 4.795
_cell_angle_alpha 60.00
_cell_angle_beta 60.00
_cell_angle_gamma 60.00
loop_
_symmetry_equiv_pos_as_xyz
'x,y,z'
loop_
_atom_site_label
_atom_site_type_symbol
_atom_site_fract_x
_atom_site_fract_y
_atom_site_fract_z
_atom_site_occupancy
Rh1 Rh 0.250 0.250 0.250 1
Ho1 Ho 0.500 0.500 0.500 1
Dy1 Dy 0.000 0.000 0.000 1
```

The density of states at the Fermi level comes out at 2.9 states/eV per cell.

--- 2 ---
The following is a PBE calculation of DyHoRh after structural relaxation, from Alexandria.

CIF file:
```
data_DyHoRh
_symmetry_space_group_name_H-M 'P 1'
_symmetry_Int_Tables_number 1
_cell_length_a 6.440
_cell_length_b 6.907
_cell_length_c 7.577
_cell_angle_alpha 89.89
_cell_angle_beta 90.00
_cell_angle_gamma 90.00
loop_
_symmetry_equiv_pos_as_xyz
'x,y,z'
loop_
_atom_site_label
_atom_site_type_symbol
_atom_site_fract_x
_atom_site_fract_y
_atom_site_fract_z
_atom_site_occupancy
Dy1 Dy 0.741 0.922 0.611 1
Dy2 Dy 0.759 0.922 0.111 1
Dy3 Dy 0.259 0.078 0.389 1
Dy4 Dy 0.241 0.078 0.889 1
Ho1 Ho 0.240 0.577 0.112 1
Ho2 Ho 0.260 0.577 0.612 1
Ho3 Ho 0.760 0.423 0.888 1
Ho4 Ho 0.740 0.423 0.388 1
Rh1 Rh 0.501 0.251 0.648 1
Rh2 Rh 0.001 0.749 0.852 1
Rh3 Rh 0.499 0.749 0.352 1
Rh4 Rh 0.999 0.251 0.148 1
```

The density of states at the Fermi level comes out at 7.7 states/eV per cell.

Which of them is the most stable, and which is the least stable? 1 and 2, in that order.

--- 1 ---
The following is a PBE calculation of DyHo2Rh after structural relaxation, from Alexandria.

CIF file:
```
data_DyHo2Rh
_symmetry_space_group_name_H-M 'P 1'
_symmetry_Int_Tables_number 1
_cell_length_a 3.486
_cell_length_b 3.486
_cell_length_c 8.544
_cell_angle_alpha 90.00
_cell_angle_beta 90.00
_cell_angle_gamma 90.00
loop_
_symmetry_equiv_pos_as_xyz
'x,y,z'
loop_
_atom_site_label
_atom_site_type_symbol
_atom_site_fract_x
_atom_site_fract_y
_atom_site_fract_z
_atom_site_occupancy
Rh1 Rh 0.500 0.500 0.000 1
Ho1 Ho 0.000 0.000 0.810 1
Ho2 Ho 0.000 0.000 0.190 1
Dy1 Dy 0.500 0.500 0.500 1
```

The density of states at the Fermi level comes out at 5.3 states/eV per cell.

--- 2 ---
The following is a PBE calculation of DyHo2Rh after structural relaxation, from Alexandria.

CIF file:
```
data_DyHo2Rh
_symmetry_space_group_name_H-M 'P 1'
_symmetry_Int_Tables_number 1
_cell_length_a 3.600
_cell_length_b 3.600
_cell_length_c 10.691
_cell_angle_alpha 80.31
_cell_angle_beta 80.31
_cell_angle_gamma 60.00
loop_
_symmetry_equiv_pos_as_xyz
'x,y,z'
loop_
_atom_site_label
_atom_site_type_symbol
_atom_site_fract_x
_atom_site_fract_y
_atom_site_fract_z
_atom_site_occupancy
Rh1 Rh 0.500 0.500 0.500 1
Ho1 Ho 0.110 0.110 0.669 1
Ho2 Ho 0.890 0.890 0.331 1
Dy1 Dy 0.000 0.000 0.000 1
```

The density of states at the Fermi level comes out at 5.4 states/eV per cell.

Which of them is the most stable, and which is the least stable? 1 and 2, in that order.

--- 1 ---
The following is a PBE calculation of DyHo2Rh after structural relaxation, from Alexandria.

CIF file:
```
data_DyHo2Rh
_symmetry_space_group_name_H-M 'P 1'
_symmetry_Int_Tables_number 1
_cell_length_a 3.806
_cell_length_b 3.806
_cell_length_c 9.323
_cell_angle_alpha 78.22
_cell_angle_beta 78.22
_cell_angle_gamma 60.00
loop_
_symmetry_equiv_pos_as_xyz
'x,y,z'
loop_
_atom_site_label
_atom_site_type_symbol
_atom_site_fract_x
_atom_site_fract_y
_atom_site_fract_z
_atom_site_occupancy
Dy1 Dy 0.501 0.501 0.496 1
Ho1 Ho 0.060 0.060 0.821 1
Ho2 Ho 0.273 0.273 0.181 1
Rh1 Rh 0.666 0.666 0.002 1
```

The density of states at the Fermi level comes out at 4.8 states/eV per cell.

--- 2 ---
The following is a PBE calculation of DyHo2Rh after structural relaxation, from Alexandria.

CIF file:
```
data_DyHo2Rh
_symmetry_space_group_name_H-M 'P 1'
_symmetry_Int_Tables_number 1
_cell_length_a 3.794
_cell_length_b 6.227
_cell_length_c 9.370
_cell_angle_alpha 90.00
_cell_angle_beta 90.00
_cell_angle_gamma 107.75
loop_
_symmetry_equiv_pos_as_xyz
'x,y,z'
loop_
_atom_site_label
_atom_site_type_symbol
_atom_site_fract_x
_atom_site_fract_y
_atom_site_fract_z
_atom_site_occupancy
Dy1 Dy 0.424 0.848 0.250 1
Dy2 Dy 0.576 0.152 0.750 1
Ho1 Ho 0.139 0.277 0.433 1
Ho2 Ho 0.861 0.723 0.567 1
Ho3 Ho 0.861 0.723 0.933 1
Ho4 Ho 0.139 0.277 0.067 1
Rh1 Rh 0.744 0.488 0.250 1
Rh2 Rh 0.256 0.512 0.750 1
```

The density of states at the Fermi level comes out at 9.9 states/eV per cell.

Which of them is the most stable, and which is the least stable? 2 and 1, in that order.

--- 1 ---
The following is a PBE calculation of Dy2HoRh after structural relaxation, from Alexandria.

CIF file:
```
data_Dy2HoRh
_symmetry_space_group_name_H-M 'P 1'
_symmetry_Int_Tables_number 1
_cell_length_a 3.806
_cell_length_b 6.207
_cell_length_c 9.415
_cell_angle_alpha 90.00
_cell_angle_beta 90.00
_cell_angle_gamma 107.86
loop_
_symmetry_equiv_pos_as_xyz
'x,y,z'
loop_
_atom_site_label
_atom_site_type_symbol
_atom_site_fract_x
_atom_site_fract_y
_atom_site_fract_z
_atom_site_occupancy
Dy1 Dy 0.138 0.276 0.433 1
Dy2 Dy 0.862 0.724 0.567 1
Dy3 Dy 0.862 0.724 0.933 1
Dy4 Dy 0.138 0.276 0.067 1
Ho1 Ho 0.423 0.846 0.250 1
Ho2 Ho 0.577 0.154 0.750 1
Rh1 Rh 0.743 0.487 0.250 1
Rh2 Rh 0.257 0.513 0.750 1
```

The density of states at the Fermi level comes out at 9.5 states/eV per cell.

--- 2 ---
The following is a PBE calculation of Dy2HoRh after structural relaxation, from Alexandria.

CIF file:
```
data_Dy2HoRh
_symmetry_space_group_name_H-M 'P 1'
_symmetry_Int_Tables_number 1
_cell_length_a 3.805
_cell_length_b 3.805
_cell_length_c 9.361
_cell_angle_alpha 78.27
_cell_angle_beta 78.27
_cell_angle_gamma 60.00
loop_
_symmetry_equiv_pos_as_xyz
'x,y,z'
loop_
_atom_site_label
_atom_site_type_symbol
_atom_site_fract_x
_atom_site_fract_y
_atom_site_fract_z
_atom_site_occupancy
Dy1 Dy 0.060 0.060 0.819 1
Dy2 Dy 0.273 0.273 0.182 1
Ho1 Ho 0.501 0.501 0.497 1
Rh1 Rh 0.666 0.666 0.002 1
```

The density of states at the Fermi level comes out at 4.6 states/eV per cell.

Which of them is the most stable, and which is the least stable? 1 and 2, in that order.

--- 1 ---
The following is a PBE calculation of DyHo3Rh after structural relaxation, from Alexandria.

CIF file:
```
data_DyHo3Rh
_symmetry_space_group_name_H-M 'P 1'
_symmetry_Int_Tables_number 1
_cell_length_a 6.110
_cell_length_b 6.479
_cell_length_c 7.523
_cell_angle_alpha 90.01
_cell_angle_beta 90.00
_cell_angle_gamma 90.00
loop_
_symmetry_equiv_pos_as_xyz
'x,y,z'
loop_
_atom_site_label
_atom_site_type_symbol
_atom_site_fract_x
_atom_site_fract_y
_atom_site_fract_z
_atom_site_occupancy
Dy1 Dy 0.432 0.326 0.701 1
Dy2 Dy 0.932 0.027 0.201 1
Ho1 Ho 0.418 0.328 0.201 1
Ho2 Ho 0.426 0.863 0.951 1
Ho3 Ho 0.926 0.489 0.451 1
Ho4 Ho 0.918 0.025 0.701 1
Ho5 Ho 0.926 0.489 0.950 1
Ho6 Ho 0.426 0.863 0.450 1
Rh1 Rh 0.176 0.677 0.701 1
Rh2 Rh 0.676 0.675 0.201 1
```

The density of states at the Fermi level comes out at 11.7 states/eV per cell.

--- 2 ---
The following is a PBE calculation of DyHo3Rh after structural relaxation, from Alexandria.

CIF file:
```
data_DyHo3Rh
_symmetry_space_group_name_H-M 'P 1'
_symmetry_Int_Tables_number 1
_cell_length_a 3.752
_cell_length_b 6.246
_cell_length_c 12.438
_cell_angle_alpha 86.65
_cell_angle_beta 81.32
_cell_angle_gamma 72.52
loop_
_symmetry_equiv_pos_as_xyz
'x,y,z'
loop_
_atom_site_label
_atom_site_type_symbol
_atom_site_fract_x
_atom_site_fract_y
_atom_site_fract_z
_atom_site_occupancy
Dy1 Dy 0.114 0.492 0.281 1
Dy2 Dy 0.222 0.557 0.999 1
Ho1 Ho 0.444 0.958 0.153 1
Ho2 Ho 0.768 0.710 0.755 1
Ho3 Ho 0.098 0.174 0.629 1
Ho4 Ho 0.990 0.111 0.908 1
Ho5 Ho 0.782 0.043 0.392 1
Ho6 Ho 0.430 0.623 0.517 1
Rh1 Rh 0.783 0.310 0.124 1
Rh2 Rh 0.430 0.357 0.783 1
```

The density of states at the Fermi level comes out at 11.4 states/eV per cell.

Which of them is the most stable, and which is the least stable? 2 and 1, in that order.